Entry 1:
This record from Alexandria via LeMat-Bulk describes SrZrB2 after structural relaxation. The functional is PBE-GGA.

Structure (POSCAR):
```
SrZrB2
1.0
5.1661 0.0000 0.0000
0.0000 5.1661 0.0000
2.5830 2.5830 7.0899
Zr B Sr
2 4 2
direct
0.7500 0.2500 0.5000
0.0000 0.0000 0.0000
0.3750 0.2617 0.7500
0.8750 0.9883 0.7500
0.0117 0.6250 0.2500
0.7383 0.1250 0.2500
0.2500 0.7500 0.5000
0.5000 0.5000 0.0000
```

formation enthalpy at 0 K: 81.7 kJ/mol of atoms
SG: I-42d
offset from the most stable computed form: 39 meV per atom


Entry 2:
This record from Alexandria via LeMat-Bulk describes ScRe2TcAg after structural relaxation. The functional is PBE-GGA.

Structure (POSCAR):
```
ScRe2TcAg
1.0
4.6696 0.0000 0.0000
0.0000 4.9077 0.0000
0.0000 0.0000 4.6696
Sc Tc Re Ag
1 1 2 1
direct
0.0000 0.5000 0.0000
0.0000 0.0000 0.0000
0.0000 0.0000 0.5000
0.5000 0.0000 0.0000
0.5000 0.5000 0.5000
```

formation enthalpy at 0 K: 130.8 kJ/mol of atoms
SG: P4/mmm


Entry 3:
This record from Alexandria via LeMat-Bulk describes Li2AsN after structural relaxation. The functional is PBE-GGA.

Structure (POSCAR):
```
Li2AsN
1.0
0.0000 2.8894 2.8894
2.8894 0.0000 2.8894
2.8894 2.8894 0.0000
N Li As
1 2 1
direct
0.0000 0.0000 0.0000
0.2500 0.2500 0.2500
0.7500 0.7500 0.7500
0.5000 0.5000 0.5000
```

energy relative to the elements, uncorrected: 0.41 eV/atom
SG: Fm-3m
offset from the most stable computed form: 381 meV per atom


Entry 4:
This record from Alexandria via LeMat-Bulk describes SrLiY2Au4 after structural relaxation. The functional is PBE-GGA.

Structure (POSCAR):
```
SrLiY2Au4
1.0
-1.1829 2.5419 -4.1365
1.2121 -1.8296 -4.4894
-7.7910 -4.0058 -3.2521
Au Li Y Sr
4 1 2 1
direct
0.6018 0.6018 0.1946
0.1227 0.1227 0.6320
0.8773 0.8773 0.3680
0.3982 0.3982 0.8054
0.5000 0.5000 0.5000
0.7659 0.7659 0.7023
0.2341 0.2341 0.2977
0.0000 0.0000 0.0000
```

formation enthalpy at 0 K: -68.8 kJ/mol of atoms
SG: R-3m


Entry 5:
This record from Alexandria via LeMat-Bulk describes Rb2AgC after structural relaxation. The functional is PBE-GGA.

Structure (POSCAR):
```
Rb2AgC
1.0
12.5716 0.0000 0.0000
0.0000 12.5716 0.0000
6.2858 6.2858 2.0240
Rb C Ag
4 2 2
direct
0.4095 0.1250 0.2500
0.3405 0.6250 0.2500
0.8750 0.6595 0.7500
0.3750 0.5905 0.7500
0.2500 0.7500 0.5000
0.5000 0.5000 0.0000
0.7500 0.2500 0.5000
0.0000 0.0000 0.0000
```

formation enthalpy at 0 K: 76.2 kJ/mol of atoms
SG: I-42d


Entry 6:
This record from Alexandria via LeMat-Bulk describes Re2TcTe after structural relaxation. The functional is PBE-GGA.

Structure (POSCAR):
```
Re2TcTe
1.0
2.9991 0.0000 0.0000
0.0000 3.9395 0.0000
0.0000 0.0000 5.6751
Re Te Tc
2 1 1
direct
0.0000 0.0000 0.0469
0.5000 0.5000 0.2221
0.5000 0.5000 0.7260
0.0000 0.0000 0.5050
```

energy relative to the elements, uncorrected: 0.57 eV/atom
SG: Pmm2


Entry 7:
This record from Alexandria via LeMat-Bulk describes LaCu4Si3 after structural relaxation. The functional is PBE-GGA.

Structure (POSCAR):
```
LaCu4Si3
1.0
-1.4201 1.4377 3.5905
-2.4964 -3.2622 0.3189
5.4228 -3.7919 3.6633
Cu Si La
4 3 1
direct
0.0000 0.5000 0.1719
0.5000 0.0000 0.8281
0.5000 0.0000 0.1719
0.0000 0.5000 0.8281
0.5000 0.5000 0.3411
0.5000 0.5000 0.6589
0.0000 0.0000 0.0000
0.0000 0.0000 0.5000
```

energy relative to the elements, uncorrected: -0.35 eV/atom
SG: P4/mmm


Entry 8:
This record from Alexandria via LeMat-Bulk describes Pu5Ge2Pt2 after structural relaxation. The functional is PBE-GGA.

Structure (POSCAR):
```
Pu5Ge2Pt2
1.0
-7.0897 -4.0463 -4.0019
-2.0595 -1.5725 5.2386
0.4935 9.5468 -0.2004
Pu Pt Ge
10 4 4
direct
0.7868 0.2063 0.5000
0.2179 0.1678 0.8555
0.8624 0.8123 0.1445
0.2132 0.7063 0.5000
0.7041 0.7969 0.6982
0.1376 0.6678 0.8555
0.7821 0.3123 0.1445
0.4940 0.2969 0.6982
0.2959 0.0988 0.3018
0.5060 0.5988 0.3018
0.4881 0.8904 0.8391
0.1490 0.5513 0.1609
0.5119 0.0513 0.1609
0.8510 0.3904 0.8391
0.8883 0.7177 0.5000
0.5000 0.5945 0.0000
0.0000 0.0945 0.0000
0.1117 0.2177 0.5000
```

formation enthalpy at 0 K: -43.8 kJ/mol of atoms
SG: Ima2


Entry 9:
This record from Alexandria via LeMat-Bulk describes SnBiF2 after structural relaxation. The functional is PBE-GGA.

Structure (POSCAR):
```
SnBiF2
1.0
-3.6268 -1.2794 7.9679
-3.0122 -4.4527 7.0269
-0.5704 -2.6113 8.4340
Sn F Bi
1 2 1
direct
0.5000 0.5000 0.5000
0.9109 0.9109 0.9109
0.0891 0.0891 0.0891
0.0000 0.0000 0.0000
```

energy relative to the elements, uncorrected: -1.38 eV/atom
SG: R-3m
offset from the most stable computed form: 0 meV per atom


Entry 10:
This record from Alexandria via LeMat-Bulk describes PuMgCdBi after structural relaxation. The functional is PBE-GGA.

Structure (POSCAR):
```
PuMgCdBi
1.0
5.3247 0.0000 0.0000
2.6623 4.6113 0.0000
2.6623 1.5371 4.3476
Cd Bi Mg Pu
1 1 1 1
direct
0.7500 0.7500 0.7500
0.2500 0.2500 0.2500
0.0000 0.0000 0.0000
0.5000 0.5000 0.5000
```

formation enthalpy at 0 K: -11.9 kJ/mol of atoms
SG: F-43m
offset from the most stable computed form: 87 meV per atom


Entry 11:
This record from Alexandria via LeMat-Bulk describes Dy6Y2Sc3 after structural relaxation. The functional is PBE-GGA.

Structure (POSCAR):
```
Dy6Y2Sc3
1.0
7.3137 -1.9018 1.7355
-2.0043 7.7175 2.9624
3.2597 6.2431 10.3416
Dy Sc Y
6 3 2
direct
0.8037 0.7161 0.5514
0.0902 0.6294 0.7308
0.1963 0.2839 0.4486
0.7336 0.0976 0.8141
0.9098 0.3706 0.2692
0.2664 0.9024 0.1859
0.5411 0.8056 0.3703
0.4589 0.1944 0.6297
0.0000 0.0000 0.0000
0.6438 0.4576 0.0889
0.3562 0.5424 0.9111
```

formation enthalpy at 0 K: 4.6 kJ/mol of atoms
SG: P-1


Entry 12:
This record from Alexandria via LeMat-Bulk describes NdSi2IrRu after structural relaxation. The functional is PBE-GGA.

Structure (POSCAR):
```
NdSi2IrRu
1.0
4.1713 0.0000 0.0000
0.0000 4.1713 0.0000
-2.0856 -2.0856 4.9841
Ru Si Ir Nd
1 2 1 1
direct
0.2500 0.7500 0.5000
0.6297 0.6297 0.2594
0.3703 0.3703 0.7406
0.7500 0.2500 0.5000
0.0000 0.0000 0.0000
```

energy relative to the elements, uncorrected: -1.00 eV/atom
SG: I-4m2


Calculated values (states/eV per cell) of N(E_F) for the records, taken in order: 0.728 5.743 1.606 6.633 5.014 3.272 3.664 75.923 1.106 13.464 16.851 2.032.